The following is a GGA-PBE calculation of a relaxed Sr2TlPb2 crystal, from the Alexandria database.

abc: 5.6826 5.6826 13.1504
angles: 90.00 90.00 90.00
Space group I4/mmm (No. 139)
One atom of each set of equivalent atoms:
Sr  0.0000  0.5000  0.2500
Tl  0.0000  0.0000  0.0000
Pb  0.0000  0.0000  0.3922

Properties
Energy above the lowest structure with this stoichiometry: 31.6 kJ per mole of atoms
Total DFT energy (no corrections): -2.730 eV/atom
D(E_F): 6.6 states/eV/f.u.